Entry 1:
The following is a DFT calculation (PBEsol) of crystalline CrAsPb2 at its relaxed geometry.

Lattice parameters (Å, degrees): 5.8733 5.8733 5.0875 110.11 110.11 33.67
Closest atoms and distances in Å follow each position.
Positions (direct):
1 Cr 0.0000 0.0000 0.0000  2 As 2.46
2 As 0.6619 0.6619 0.2356  2 Cr 2.46
3 Pb 0.2348 0.2348 0.7976  4 As 3.14-3.17, 3 Cr 3.16-3.26, 6 Pb 3.37-3.51
4 Pb 0.4465 0.4465 0.4646  1 As 3.04, 4 Cr 3.08-3.14, 4 Pb 3.37-3.40

## Properties
The space group is Cm, No. 8. As for the crystal system: monoclinic. The size of the total moment comes out at 3.236 μB per formula unit. Its theoretical density is 9.9 g/cm3. For the total DFT energy (no corrections), the calculation gives -5.522 eV per atom.



Entry 2:
The following is a DFT calculation (PBEsol) of crystalline LaNbP2 at its relaxed geometry.

Lattice parameters (Å, degrees): 4.7019 4.7019 4.7019 60.00 60.00 60.00
Closest atoms and distances in Å follow each position.
Positions (direct):
1 La 0.0000 0.0000 0.0000  8 P 2.88
2 Nb 0.5000 0.5000 0.5000  8 P 2.88
3 P 0.2500 0.2500 0.2500  4 La 2.88, 4 Nb 2.88
4 P 0.7500 0.7500 0.7500  4 Nb 2.88, 4 La 2.88

## Properties
The space group is Fm-3m, No. 225. As for the crystal system: cubic. The size of the total moment comes out at 0.010 μB per formula unit. Its theoretical density is 6.6 g/cm3. For the total DFT energy (no corrections), the calculation gives -7.602 eV per atom.



Entry 3:
The following is a DFT calculation (PBEsol) of crystalline SrReNO2 at its relaxed geometry.

Lattice parameters (Å, degrees): 3.9605 3.9605 3.8850 90.00 90.00 90.00
Closest atoms and distances in Å follow each position.
Positions (direct):
1 Sr 0.0000 0.0000 0.0000  8 O 2.77, 4 N 2.80
2 Re 0.5000 0.5000 0.5000  2 N 1.94, 4 O 1.98
3 N 0.5000 0.5000 0.0000  2 Re 1.94
4 O 0.0000 0.5000 0.5000  2 Re 1.98
5 O 0.5000 0.0000 0.5000  2 Re 1.98

## Properties
The space group is P4/mmm, No. 123. As for the crystal system: tetragonal. The size of the total moment comes out at 0.000 μB per formula unit. Its theoretical density is 8.7 g/cm3. The formation energy without anion corrections is -1641.0 meV/atom.



Entry 4:
The following is a DFT calculation (PBEsol) of crystalline YMnSCl2 at its relaxed geometry.

Lattice parameters (Å, degrees): 5.1776 5.1776 5.2224 90.00 90.00 90.00
Closest atoms and distances in Å follow each position.
Positions (direct):
1 Y 0.0000 0.0000 0.0000  4 Cl 2.59, 2 S 2.61
2 Mn 0.5000 0.5000 0.5000  4 S 3.66, 8 Cl 3.68
3 S 0.0000 0.0000 0.5000  2 Y 2.61
4 Cl 0.0000 0.5000 0.0000  2 Y 2.59
5 Cl 0.5000 0.0000 0.0000  2 Y 2.59

## Properties
The space group is P4/mmm, No. 123. As for the crystal system: tetragonal. The size of the total moment comes out at 5.907 μB per formula unit. The energy relative to the lowest polymorph listed for this composition is 0 meV/atom. Its theoretical density is 2.9 g/cm3. The formation energy without anion corrections is -829.9 meV/atom.



Entry 5:
The following is a DFT calculation (PBEsol) of crystalline Mn3CuF at its relaxed geometry.

Lattice parameters (Å, degrees): 4.5530 4.5530 4.5530 90.00 90.00 90.00
Closest atoms and distances in Å follow each position.
Positions (direct):
1 Mn 0.0000 0.0000 0.5000  2 Cu 2.28
2 Mn 0.0000 0.5000 0.0000  2 Cu 2.28
3 Mn 0.5000 0.0000 0.0000  2 Cu 2.28
4 Cu 0.0000 0.0000 0.0000  6 Mn 2.28
5 F 0.5000 0.5000 0.5000  12 Mn 3.22

## Properties
The space group is Pm-3m, No. 221. As for the crystal system: cubic. The size of the total moment comes out at 13.217 μB per formula unit. Its theoretical density is 4.4 g/cm3. The formation energy without anion corrections is 854.8 meV/atom.



Entry 6:
The following is a DFT calculation (PBEsol) of crystalline AcZn2In at its relaxed geometry.

Lattice parameters (Å, degrees): 5.0679 5.0679 5.0679 60.00 60.00 60.00
Closest atoms and distances in Å follow each position.
Positions (direct):
1 Ac 0.0000 0.0000 0.0000  8 Zn 3.10
2 Zn 0.2500 0.2500 0.2500  4 Ac 3.10, 4 In 3.10
3 Zn 0.7500 0.7500 0.7500  4 Ac 3.10, 4 In 3.10
4 In 0.5000 0.5000 0.5000  8 Zn 3.10

## Properties
The space group is Fm-3m, No. 225. As for the crystal system: cubic. The size of the total moment comes out at 0.000 μB per formula unit. Its theoretical density is 8.5 g/cm3. For the total DFT energy (no corrections), the calculation gives -2.941 eV per atom.



Entry 7:
The following is a DFT calculation (PBEsol) of crystalline Ho2Fe17C3 at its relaxed geometry.

Lattice parameters (Å, degrees): 8.4530 8.4530 8.1592 90.00 90.00 120.00
Closest atoms and distances in Å follow each position.
Positions (direct):
1 Ho 0.0000 0.0000 0.2500  3 C 2.42
2 Ho 0.0000 0.0000 0.7500  3 C 2.42
3 Ho 0.3333 0.6667 0.2500  3 C 2.46
4 Ho 0.6667 0.3333 0.7500  3 C 2.46
5 Fe 0.0000 0.5000 0.0000  10 Fe 2.42-2.59
6 Fe 0.0000 0.5000 0.5000  10 Fe 2.42-2.59
7 Fe 0.0536 0.3807 0.7500  1 C 1.84
8 Fe 0.0536 0.6730 0.7500  1 C 1.84
9 Fe 0.1677 0.3354 0.0203  1 C 1.87
10 Fe 0.1677 0.3354 0.4797  1 C 1.87
11 Fe 0.1677 0.8323 0.0203  1 C 1.87
12 Fe 0.1677 0.8323 0.4797  1 C 1.87
13 Fe 0.3270 0.3807 0.7500  1 C 1.84
14 Fe 0.3270 0.9464 0.7500  1 C 1.84
15 Fe 0.3333 0.6667 0.6072  4 Fe 2.33-2.59
16 Fe 0.3333 0.6667 0.8928  4 Fe 2.33-2.59
17 Fe 0.3354 0.1677 0.5203  1 C 1.87
18 Fe 0.3354 0.1677 0.9797  1 C 1.87
19 Fe 0.3807 0.0536 0.2500  1 C 1.84
20 Fe 0.3807 0.3270 0.2500  1 C 1.84
21 Fe 0.5000 0.0000 0.0000  10 Fe 2.42-2.59
22 Fe 0.5000 0.0000 0.5000  10 Fe 2.42-2.59
23 Fe 0.5000 0.5000 0.0000  10 Fe 2.42-2.59
24 Fe 0.5000 0.5000 0.5000  10 Fe 2.42-2.59
25 Fe 0.6193 0.6730 0.7500  1 C 1.84
26 Fe 0.6193 0.9464 0.7500  1 C 1.84
27 Fe 0.6646 0.8323 0.0203  1 C 1.87
28 Fe 0.6646 0.8323 0.4797  1 C 1.87
29 Fe 0.6667 0.3333 0.1072  4 Fe 2.33-2.59
30 Fe 0.6667 0.3333 0.3928  4 Fe 2.33-2.59
31 Fe 0.6730 0.0536 0.2500  1 C 1.84
32 Fe 0.6730 0.6193 0.2500  1 C 1.84
33 Fe 0.8323 0.1677 0.5203  1 C 1.87
34 Fe 0.8323 0.1677 0.9797  1 C 1.87
35 Fe 0.8323 0.6646 0.5203  1 C 1.87
36 Fe 0.8323 0.6646 0.9797  1 C 1.87
37 Fe 0.9464 0.3270 0.2500  1 C 1.84
38 Fe 0.9464 0.6193 0.2500  1 C 1.84
39 C 0.1655 0.3309 0.2500  4 Fe 1.84-1.87
40 C 0.1655 0.8345 0.2500  4 Fe 1.84-1.87
41 C 0.3309 0.1655 0.7500  4 Fe 1.84-1.87
42 C 0.6691 0.8345 0.2500  4 Fe 1.84-1.87
43 C 0.8345 0.1655 0.7500  4 Fe 1.84-1.87
44 C 0.8345 0.6691 0.7500  4 Fe 1.84-1.87

## Properties
The space group is P6_3/mmc, No. 194. As for the crystal system: hexagonal. The size of the total moment comes out at 31.530 μB per formula unit. Its theoretical density is 8.7 g/cm3. For the total DFT energy (no corrections), the calculation gives -8.786 eV per atom.



Entry 8:
The following is a DFT calculation (PBEsol) of crystalline Cr2TcP at its relaxed geometry.

Lattice parameters (Å, degrees): 4.4152 4.4152 2.7419 90.00 90.00 115.65
Closest atoms and distances in Å follow each position.
Positions (direct):
1 Cr 0.0000 0.5000 0.0000  2 Cr 2.35, 4 Tc 2.60, 4 P 2.60
2 Cr 0.5000 0.0000 0.0000  2 Cr 2.35, 4 Tc 2.60, 4 P 2.60
3 Tc 0.0000 0.0000 0.5000  2 P 2.35, 8 Cr 2.60
4 P 0.5000 0.5000 0.5000  2 Tc 2.35, 8 Cr 2.60

## Properties
The space group is Cmmm, No. 65. As for the crystal system: orthorhombic. The size of the total moment comes out at 0.001 μB per formula unit. Its theoretical density is 8.0 g/cm3. For the total DFT energy (no corrections), the calculation gives -9.428 eV per atom.



Entry 9:
The following is a DFT calculation (PBEsol) of crystalline FeCl4 at its relaxed geometry.

Lattice parameters (Å, degrees): 5.7201 5.7201 3.3547 90.00 90.00 96.69
Closest atoms and distances in Å follow each position.
Positions (direct):
1 Fe 0.0000 0.0000 0.0000  6 Cl 2.15-2.26
2 Cl 0.1766 0.8234 0.5000  2 Fe 2.26
3 Cl 0.2825 0.2825 0.0000  1 Fe 2.15
4 Cl 0.7175 0.7175 0.0000  1 Fe 2.15
5 Cl 0.8234 0.1766 0.5000  2 Fe 2.26

## Properties
The space group is Cmmm, No. 65. As for the crystal system: orthorhombic. The size of the total moment comes out at 2.007 μB per formula unit. Its theoretical density is 3.0 g/cm3. The formation energy without anion corrections is -516.0 meV/atom.



Entry 10:
The following is a DFT calculation (PBEsol) of crystalline TaTc2Br at its relaxed geometry.

Lattice parameters (Å, degrees): 4.4670 4.4670 3.1122 90.00 90.00 90.00
Closest atoms and distances in Å follow each position.
Positions (direct):
1 Ta 0.0000 0.0000 0.0000  8 Tc 2.72
2 Tc 0.0000 0.5000 0.5000  4 Ta 2.72, 4 Br 2.72
3 Tc 0.5000 0.0000 0.5000  4 Ta 2.72, 4 Br 2.72
4 Br 0.5000 0.5000 0.0000  8 Tc 2.72

## Properties
The space group is P4/mmm, No. 123. As for the crystal system: tetragonal. The size of the total moment comes out at 0.000 μB per formula unit. The energy relative to the lowest polymorph listed for this composition is 212 meV/atom. Its theoretical density is 12.2 g/cm3. The formation energy without anion corrections is 516.0 meV/atom.



Entry 11:
The following is a DFT calculation (PBEsol) of crystalline CdOsPb2 at its relaxed geometry.

Lattice parameters (Å, degrees): 3.2469 3.2469 8.7549 90.00 90.00 90.00
Closest atoms and distances in Å follow each position.
Positions (direct):
1 Cd 0.0000 0.0000 0.0000  4 Cd 3.25, 8 Pb 3.49
2 Os 0.0000 0.0000 0.5000  8 Pb 2.88
3 Pb 0.5000 0.5000 0.3009  4 Os 2.88
4 Pb 0.5000 0.5000 0.6991  4 Os 2.88

## Properties
The space group is P4/mmm, No. 123. As for the crystal system: tetragonal. The size of the total moment comes out at 0.000 μB per formula unit. Its theoretical density is 12.9 g/cm3. For the total DFT energy (no corrections), the calculation gives -4.814 eV per atom.



Entry 12:
The following is a DFT calculation (PBEsol) of crystalline YFeTe2As at its relaxed geometry.

Lattice parameters (Å, degrees): 5.4647 5.4647 4.3143 90.00 90.00 90.00
Closest atoms and distances in Å follow each position.
Positions (direct):
1 Y 0.0000 0.0000 0.0000  8 Te 3.48, 4 Fe 3.86
2 Fe 0.5000 0.5000 0.0000  2 As 2.16
3 Te 0.0000 0.5000 0.5000  2 As 2.73
4 Te 0.5000 0.0000 0.5000  2 As 2.73
5 As 0.5000 0.5000 0.5000  2 Fe 2.16

## Properties
The space group is P4/mmm, No. 123. As for the crystal system: tetragonal. The size of the total moment comes out at 2.098 μB per formula unit. Its theoretical density is 6.1 g/cm3. The formation energy without anion corrections is 81.2 meV/atom.



Entry 13:
The following is a DFT calculation (PBEsol) of crystalline Cs3TiP at its relaxed geometry.

Lattice parameters (Å, degrees): 6.7456 6.7456 6.7456 90.00 90.00 90.00
Closest atoms and distances in Å follow each position.
Positions (direct):
1 Cs 0.0000 0.0000 0.5000  2 P 3.37
2 Cs 0.0000 0.5000 0.0000  2 P 3.37
3 Cs 0.5000 0.0000 0.0000  2 P 3.37
4 Ti 0.5000 0.5000 0.5000  12 Cs 4.77
5 P 0.0000 0.0000 0.0000  6 Cs 3.37

## Properties
The space group is Pm-3m, No. 221. As for the crystal system: cubic. The size of the total moment comes out at 3.599 μB per formula unit. Its theoretical density is 2.6 g/cm3. For the total DFT energy (no corrections), the calculation gives -2.511 eV per atom.